Here is a relaxed MoP2O2 crystal from Alexandria via LeMat-Bulk. Energies are from GGA+U.

SG: No. 127
Electronic total energy: -5.761 eV per atom
Calculated density: 4.2 g cm⁻³
V: 15.02 A^3/atom
Offset from the most stable computed form: 3.90 kcal/mol of atoms

abc: 6.5145 6.5145 3.5388
angles: 90.00 90.00 90.00
Fractional coordinates of all 10 atoms:
Mo 0.0000 0.0000 0.0000
Mo 0.5000 0.5000 0.0000
P 0.1234 0.3766 0.0000
P 0.3766 0.8766 0.0000
P 0.6234 0.1234 0.0000
P 0.8766 0.6234 0.0000
O 0.1440 0.3560 0.5000
O 0.3560 0.8560 0.5000
O 0.6440 0.1440 0.5000
O 0.8560 0.6440 0.5000